No. 1
Entry from the Alexandria database: a crystal of BaSrSb2Te relaxed with PBEsol (SCAN).

a = 6.030 Å, b = 6.030 Å, c = 6.217 Å
α = 90.00°, β = 90.00°, γ = 90.00°
Space group P4/mmm (No. 123)
One atom of each set of equivalent atoms:
Ba: 0.000 0.000 0.000 [1 per cell]
Sr: 0.500 0.500 0.500 [1 per cell]
Sb: 0.000 0.500 0.000 [2 per cell]
Te: 0.000 0.000 0.500 [1 per cell]

Calculated values
Total energy = -173.5 eV/cell
E_form (uncorrected) = 22 meV/atom
Crystal system = tetragonal

No. 2
Entry from the Alexandria database: a crystal of Ba2Si2Br relaxed with PBEsol (SCAN).

a = 6.039 Å, b = 6.039 Å, c = 9.598 Å
α = 90.00°, β = 90.00°, γ = 90.00°
Space group I4/mmm (No. 139)
One atom of each set of equivalent atoms:
Ba: 0.000 0.500 0.250 [4 per cell]
Si: 0.000 0.000 0.113 [4 per cell]
Br: 0.000 0.000 0.500 [2 per cell]

Calculated values
Total energy = -243.2 eV/cell
E_form (uncorrected) = -604 meV/atom
Energy above the lowest structure with this stoichiometry = 14.4 kJ/mol of atoms
Crystal system = tetragonal

No. 3
Entry from the Alexandria database: a crystal of LaHgTe2 relaxed with PBEsol (SCAN).

a = 4.488 Å, b = 4.268 Å, c = 12.276 Å
α = 90.00°, β = 90.00°, γ = 90.00°
Space group Amm2 (No. 38)
One atom of each set of equivalent atoms:
La: 0.000 0.000 0.000 [2 per cell]
Hg: 0.500 0.000 0.199 [2 per cell]
Te: 0.000 0.000 0.705 [2 per cell]
Te: 0.500 0.000 0.436 [2 per cell]

Calculated values
Total energy = -380.6 eV/cell
E_form (uncorrected) = -1136 meV/atom
Crystal system = orthorhombic

No. 4
Entry from the Alexandria database: a crystal of ZrIn2Ir relaxed with PBEsol (SCAN).

a = 4.254 Å, b = 4.254 Å, c = 8.296 Å
α = 90.00°, β = 90.00°, γ = 90.00°
Space group I-4m2 (No. 119)
One atom of each set of equivalent atoms:
Zr: 0.000 0.000 0.000 [2 per cell]
In: 0.000 0.000 0.500 [2 per cell]
In: 0.000 0.500 0.250 [2 per cell]
Ir: 0.000 0.500 0.750 [2 per cell]

Calculated values
Total energy = -339.9 eV/cell
Crystal system = tetragonal

Number 1: Fermi-level density of states 5.505 states/eV/f.u.. Number 2: Fermi-level density of states 2.520 states/eV/f.u.. Number 3: Fermi-level density of states 0.859 states/eV/f.u.. Number 4: Fermi-level density of states 1.928 states/eV/f.u..